Crystalline KAl2Bi2 at its relaxed geometry, computed with GGA-PBE.

Results
The formation energy is 0.051 eV/atom. The calculation puts the calculated volume at 28.5 Å³ per atom. The total magnetic moment comes out at 0.00 μB/cell. Its total energy is -3.22 eV per atom.

a = 8.488 Å, b = 8.488 Å, c = 3.950 Å
α = 90.00°, β = 90.00°, γ = 90.00°
Space group P4/mbm (No. 127)
Inequivalent atoms, fractional coordinates:
1 K 0.000 0.000 0.000 (multiplicity 2)
2 Al 0.118 0.382 0.000 (multiplicity 4)
3 Bi 0.160 0.660 0.500 (multiplicity 4)

Crystalline Pm3Nd6Y2Mg at its relaxed geometry, computed with GGA-PBE.

Results
The formation energy is 0.023 eV/atom. The calculation puts the calculated volume at 33.6 Å³ per atom. The total magnetic moment comes out at 0.00 μB/cell. Its total energy is -4.76 eV per atom.

a = 6.294 Å, b = 10.917 Å, c = 11.930 Å
α = 90.00°, β = 100.20°, γ = 90.00°
Space group C2/m (No. 12)
Inequivalent atoms, fractional coordinates:
1 Pm 0.000 0.000 0.000 (multiplicity 2)
2 Pm 0.000 0.333 0.000 (multiplicity 4)
3 Nd 0.246 0.334 0.746 (multiplicity 8)
4 Nd 0.250 0.000 0.747 (multiplicity 4)
5 Y 0.000 0.167 0.500 (multiplicity 4)
6 Mg 0.000 0.500 0.500 (multiplicity 2)

Crystalline LaY2Fe2 at its relaxed geometry, computed with GGA-PBE.

Results
The formation energy is 0.098 eV/atom. The calculation puts the calculated volume at 23.6 Å³ per atom. The total magnetic moment comes out at 5.09 μB/cell. The polymorph energy (0 for the lowest one) comes out at 0.000 eV/atom. Its total energy is -6.86 eV per atom.

a = 7.204 Å, b = 7.204 Å, c = 4.553 Å
α = 90.00°, β = 90.00°, γ = 90.00°
Space group P4/mbm (No. 127)
Inequivalent atoms, fractional coordinates:
1 La 0.000 0.000 0.000 (multiplicity 2)
2 Y 0.168 0.332 0.500 (multiplicity 4)
3 Fe 0.106 0.606 0.000 (multiplicity 4)

Crystalline Lu12Co3H5 at its relaxed geometry, computed with GGA-PBE.

Results
The calculation puts the calculated volume at 19.1 Å³ per atom. The total magnetic moment comes out at 0.00 μB/cell. Its total energy is -4.87 eV per atom.

a = 14.521 Å, b = 14.521 Å, c = 14.521 Å
α = 90.00°, β = 90.00°, γ = 90.00°
Space group Ia-3d (No. 230)
Inequivalent atoms, fractional coordinates:
1 Lu 0.033 0.061 0.656 (multiplicity 96)
2 Co 0.000 0.250 0.125 (multiplicity 24)
3 H 0.000 0.000 0.000 (multiplicity 16)
4 H 0.000 0.250 0.375 (multiplicity 24)

> total magnetic moment of number 1 (KAl2Bi2)?

0.00 μB/cell

> Look up the total magnetic moment of the fourth one.

0.00 μB/cell